(1)
A PBEsol-optimized structure of Ce4Sb3, computed with SCAN.

Calculated values
Formation energy (no corrections): -7.6 eV per formula unit
DOS at the Fermi energy: 38.50 states/eV per cell

abc: 9.2687 9.2687 9.2687
angles: 90.00 90.00 90.00
Closest atoms and distances in Å follow each position.
Space group I-43d (No. 220)
One atom of each set of equivalent atoms:
Ce 0.0741 0.0741 0.0741 x16  6 Sb 3.12-3.30
Sb 0.0000 0.2500 0.3750 x12  8 Ce 3.12-3.30


(2)
A PBEsol-optimized structure of ZnSiAg2, computed with SCAN.

Calculated values
Formation energy (no corrections): 1.1 eV per formula unit
DOS at the Fermi energy: 0.90 states/eV per cell

abc: 3.3017 3.3017 5.7184
angles: 90.00 90.00 90.00
Closest atoms and distances in Å follow each position.
Space group P4/mmm (No. 123)
One atom of each set of equivalent atoms:
Zn 0.0000 0.0000 0.0000 x1  8 Ag 2.73, 2 Si 2.86
Si 0.0000 0.0000 0.5000 x1  8 Ag 2.74, 2 Zn 2.86
Ag 0.5000 0.5000 0.2483 x2  4 Zn 2.73, 4 Si 2.74, 2 Ag 2.84-2.88


(3)
A PBEsol-optimized structure of MnNiN2, computed with SCAN.

Calculated values
Formation energy (no corrections): -0.6 eV per formula unit
DOS at the Fermi energy: 11.72 states/eV per cell

abc: 4.2478 4.2478 8.4192
angles: 90.00 90.00 90.00
Closest atoms and distances in Å follow each position.
Space group I-42d (No. 122)
One atom of each set of equivalent atoms:
Mn 0.0000 0.0000 0.0000 x4  4 N 1.78
Ni 0.0000 0.0000 0.5000 x4  4 N 1.89
N 0.2277 0.2500 0.1250 x8  2 Mn 1.78, 2 Ni 1.89


(4)
A PBEsol-optimized structure of YSc2Mo, computed with SCAN.

Calculated values
DOS at the Fermi energy: 18.58 states/eV per cell

abc: 6.9608 6.9608 6.9608
angles: 90.00 90.00 90.00
Closest atoms and distances in Å follow each position.
Space group F-43m (No. 216)
One atom of each set of equivalent atoms:
Y 0.0000 0.0000 0.0000 x4  4 Mo 3.01, 4 Sc 3.01
Sc 0.0000 0.0000 0.5000 x4  4 Sc 3.01, 4 Mo 3.01
Sc 0.2500 0.2500 0.7500 x4  4 Sc 3.01, 4 Y 3.01
Mo 0.2500 0.2500 0.2500 x4  4 Sc 3.01, 4 Y 3.01


(5)
A PBEsol-optimized structure of SrTaRu2, computed with SCAN.

Calculated values
DOS at the Fermi energy: 1.74 states/eV per cell

abc: 4.6924 4.6924 3.1821
angles: 90.00 90.00 90.00
Closest atoms and distances in Å follow each position.
Space group P4/mmm (No. 123)
One atom of each set of equivalent atoms:
Sr 0.0000 0.0000 0.0000 x1  8 Ru 2.83
Ta 0.5000 0.5000 0.0000 x1  8 Ru 2.83
Ru 0.0000 0.5000 0.5000 x2  4 Ta 2.83, 4 Sr 2.83


(6)
A PBEsol-optimized structure of Cr3SnS, computed with SCAN.

Calculated values
Formation energy (no corrections): 4.8 eV per formula unit
DOS at the Fermi energy: 1.79 states/eV per cell

abc: 4.9918 4.9918 4.9918
angles: 90.00 90.00 90.00
Closest atoms and distances in Å follow each position.
Space group Pm-3m (No. 221)
One atom of each set of equivalent atoms:
Cr 0.0000 0.0000 0.5000 x3  2 Sn 2.50
Sn 0.0000 0.0000 0.0000 x1  6 Cr 2.50
S 0.5000 0.5000 0.5000 x1  12 Cr 3.53


(7)
A PBEsol-optimized structure of Tl2SeBr, computed with SCAN.

Calculated values
Formation energy (no corrections): -1.9 eV per formula unit
DOS at the Fermi energy: 2.21 states/eV per cell

abc: 4.3700 4.3700 6.2455
angles: 90.00 90.00 90.00
Closest atoms and distances in Å follow each position.
Space group P4/mmm (No. 123)
One atom of each set of equivalent atoms:
Tl 0.0000 0.0000 0.0000 x1  4 Br 3.09, 2 Se 3.12
Tl 0.5000 0.5000 0.5000 x1  4 Se 3.09, 2 Br 3.12
Se 0.0000 0.0000 0.5000 x1  6 Tl 3.09-3.12
Br 0.5000 0.5000 0.0000 x1  6 Tl 3.09-3.12


(8)
A PBEsol-optimized structure of YBeCr, computed with SCAN.

Calculated values
DOS at the Fermi energy: 1.90 states/eV per cell

abc: 3.9842 3.9842 3.8282
angles: 90.00 90.00 120.00
Closest atoms and distances in Å follow each position.
Space group P-6m2 (No. 187)
One atom of each set of equivalent atoms:
Y 0.0000 0.0000 0.0000 x1  6 Cr 2.99, 6 Be 2.99
Be 0.3333 0.6667 0.5000 x1  3 Cr 2.30
Cr 0.6667 0.3333 0.5000 x1  3 Be 2.30


(9)
A PBEsol-optimized structure of PtSe2Cl, computed with SCAN.

Calculated values
Formation energy (no corrections): 0.5 eV per formula unit
DOS at the Fermi energy: 7.20 states/eV per cell

abc: 3.7217 7.1443 7.4361
angles: 90.00 90.00 90.00
Closest atoms and distances in Å follow each position.
Space group Cmmm (No. 65)
One atom of each set of equivalent atoms:
Pt 0.0000 0.0000 0.0000 x2  4 Se 2.39
Se 0.0000 0.5000 0.2010 x4  2 Pt 2.39
Cl 0.0000 0.0000 0.5000 x2  4 Se 2.90


(10)
A PBEsol-optimized structure of Sr2ZrCu, computed with SCAN.

Calculated values
DOS at the Fermi energy: 11.75 states/eV per cell

abc: 3.5525 5.5907 11.8192
angles: 90.00 90.00 90.00
Closest atoms and distances in Å follow each position.
Space group Imm2 (No. 44)
One atom of each set of equivalent atoms:
Sr 0.0000 0.0000 0.0000 x2  4 Cu 3.33, 4 Sr 3.55-3.67, 2 Zr 3.59
Sr 0.0000 0.5000 0.2015 x2  2 Cu 3.27, 4 Zr 3.55, 2 Sr 3.55
Zr 0.0000 0.5000 0.8090 x2  2 Cu 2.59
Cu 0.0000 0.0000 0.4690 x2  2 Zr 2.59


(11)
A PBEsol-optimized structure of GaNi4Ge3, computed with SCAN.

Calculated values
DOS at the Fermi energy: 10.08 states/eV per cell

abc: 6.4948 6.4948 8.1497
angles: 90.00 90.00 120.00
Closest atoms and distances in Å follow each position.
Space group R3 (No. 146, hexagonal axes)
One atom of each set of equivalent atoms:
Ga 0.0000 0.0000 0.0000 x3  7 Ni 2.46-2.56
Ni 0.0000 0.0000 0.3018 x3  6 Ge 2.41-2.56, 1 Ga 2.46
Ni 0.0203 0.2572 0.7717 x9  5 Ge 2.38-2.57, 2 Ga 2.46-2.56
Ge 0.1011 0.7100 0.2065 x9  7 Ni 2.38-2.57


(12)
A PBEsol-optimized structure of HgBi2S2, computed with SCAN.

Calculated values
Formation energy (no corrections): 0.9 eV per formula unit
DOS at the Fermi energy: 5.85 states/eV per cell

abc: 8.0817 8.0817 3.5723
angles: 90.00 90.00 90.00
Closest atoms and distances in Å follow each position.
Space group P4/mbm (No. 127)
One atom of each set of equivalent atoms:
Hg 0.0000 0.0000 0.0000 x2  4 S 3.13, 8 Bi 3.50
Bi 0.1688 0.3312 0.5000 x4  6 S 2.84-3.07
S 0.1383 0.6383 0.0000 x4  6 Bi 2.84-3.07, 2 Hg 3.13, 1 S 3.16


(13)
A PBEsol-optimized structure of NbRuN2, computed with SCAN.

Calculated values
Formation energy (no corrections): 1.4 eV per formula unit
DOS at the Fermi energy: 7.96 states/eV per cell

abc: 3.1954 3.1954 16.9182
angles: 90.00 90.00 120.00
Closest atoms and distances in Å follow each position.
Space group R-3m (No. 166, hexagonal axes)
One atom of each set of equivalent atoms:
Nb 0.0000 0.0000 0.0000 x3  2 N 1.99
Ru 0.0000 0.0000 0.5000 x3  6 N 2.02
N 0.0000 0.0000 0.1174 x6  1 Nb 1.99, 3 Ru 2.02


(14)
A PBEsol-optimized structure of CaHg, computed with SCAN.

Calculated values
DOS at the Fermi energy: 6.83 states/eV per cell

abc: 3.9089 11.6274 4.7847
angles: 90.00 90.00 90.00
Closest atoms and distances in Å follow each position.
Space group Cmcm (No. 63)
One atom of each set of equivalent atoms:
Ca 0.0000 0.1450 0.2500 x4  7 Hg 3.18-3.28
Hg 0.0000 0.4189 0.2500 x4  2 Hg 3.05, 7 Ca 3.18-3.28


(15)
A PBEsol-optimized structure of CaRePb2, computed with SCAN.

Calculated values
DOS at the Fermi energy: 2.69 states/eV per cell

abc: 3.4390 3.4390 7.6227
angles: 90.00 90.00 90.00
Closest atoms and distances in Å follow each position.
Space group P4/mmm (No. 123)
One atom of each set of equivalent atoms:
Ca 0.0000 0.0000 0.0000 x1  8 Pb 3.29, 4 Ca 3.44
Re 0.0000 0.0000 0.5000 x1  8 Pb 2.91
Pb 0.5000 0.5000 0.2909 x2  4 Re 2.91, 1 Pb 3.19


(16)
A PBEsol-optimized structure of CdSnMoRu2, computed with SCAN.

Calculated values
DOS at the Fermi energy: 4.44 states/eV per cell

abc: 4.6032 4.6032 5.0983
angles: 90.00 90.00 90.00
Closest atoms and distances in Å follow each position.
Space group P4/mmm (No. 123)
One atom of each set of equivalent atoms:
Cd 0.0000 0.0000 0.0000 x1  4 Sn 3.25, 8 Ru 3.43
Sn 0.5000 0.5000 0.0000 x1  2 Mo 2.55
Mo 0.5000 0.5000 0.5000 x1  4 Ru 2.30, 2 Sn 2.55
Ru 0.0000 0.5000 0.5000 x2  2 Mo 2.30


(17)
A PBEsol-optimized structure of Te2AsN2, computed with SCAN.

Calculated values
Formation energy (no corrections): 7.8 eV per formula unit
DOS at the Fermi energy: 2.26 states/eV per cell

abc: 4.5907 4.5907 3.9762
angles: 90.00 90.00 90.00
Closest atoms and distances in Å follow each position.
Space group P4/mmm (No. 123)
One atom of each set of equivalent atoms:
Te 0.0000 0.5000 0.0000 x2  2 N 2.30
As 0.0000 0.0000 0.5000 x1  8 Te 3.04, 4 N 3.25
N 0.5000 0.5000 0.0000 x1  2 N 1.99
N 0.5000 0.5000 0.5000 x1  2 N 1.99


(18)
A PBEsol-optimized structure of CsNb2I2, computed with SCAN.

Calculated values
Formation energy (no corrections): 0.3 eV per formula unit
DOS at the Fermi energy: 5.80 states/eV per cell

abc: 4.1597 4.1597 16.4197
angles: 90.00 90.00 90.00
Closest atoms and distances in Å follow each position.
Space group I4/mmm (No. 139)
One atom of each set of equivalent atoms:
Cs 0.0000 0.0000 0.0000 x2  8 I 3.67
Nb 0.0000 0.5000 0.2500 x4  4 I 2.83, 4 Nb 2.94
I 0.0000 0.0000 0.3666 x4  4 Nb 2.83


(19)
A PBEsol-optimized structure of Li3VF6, computed with SCAN.

Calculated values
Formation energy (no corrections): -32.0 eV per formula unit

abc: 9.5426 8.4095 5.0053
angles: 90.00 90.00 90.00
Closest atoms and distances in Å follow each position.
Space group Pna2_1 (No. 33)
One atom of each set of equivalent atoms:
Li 0.1028 0.0541 0.0000 x4  4 F 1.87-2.03
Li 0.1247 0.6389 0.4902 x4  5 F 1.88-2.09
Li 0.1481 0.4491 0.9953 x4  5 F 1.90-2.10
V 0.1287 0.2599 0.4966 x4  6 F 1.90-1.97
F 0.0093 0.4182 0.6752 x4  1 V 1.97, 3 Li 2.08-2.10
F 0.0221 0.0920 0.6513 x4  2 Li 1.87-1.93, 1 V 1.90
F 0.0225 0.2550 0.1667 x4  2 Li 1.88-2.03, 1 V 1.94
F 0.2305 0.4400 0.3504 x4  1 V 1.94, 3 Li 1.95-2.08
F 0.2402 0.2663 0.8181 x4  2 Li 1.88-1.98, 1 V 1.93
F 0.2502 0.1097 0.3121 x4  2 Li 1.90-2.02, 1 V 1.95


(20)
A PBEsol-optimized structure of Nb3PPd, computed with SCAN.

Calculated values
DOS at the Fermi energy: 4.68 states/eV per cell

abc: 4.5401 4.5401 4.5401
angles: 90.00 90.00 90.00
Closest atoms and distances in Å follow each position.
Space group Pm-3m (No. 221)
One atom of each set of equivalent atoms:
Nb 0.0000 0.0000 0.5000 x3  2 P 2.27
P 0.0000 0.0000 0.0000 x1  6 Nb 2.27
Pd 0.5000 0.5000 0.5000 x1  12 Nb 3.21


For each record above, in turn, the calculated M_tot values are 28.11, 0.00, 0.00, 0.00, 0.00, 12.00, 0.00, 2.93, 0.00, 0.01, 0.00, 0.00, 0.00, 0.00, 0.00, 0.00, 1.63, 0.00, 8.00, 0.00 μB/cell.
For each record above, in turn, the calculated energy values are -1190.572, -85.207, -214.604, -359.837, -156.865, -95.894, -186.186, -50.030, -235.655, -178.119, -420.900, -487.345, -255.358, -316.710, -230.928, -164.431, -105.443, -354.471, -311.615, -141.223 eV per cell.